The following is a PBE calculation of a relaxed Pr2Er3Tm6Sc crystal, from Alexandria.

density of states at the Fermi level: 16.28 states/eV/f.u.
SG: C2/m
magnetization: 0.000 μB/f.u.
V: 367 Å³ per cell
formation enthalpy at 0 K: 0.031 eV per atom
DFT total energy: -56.03 eV for the cell shown

a b c (Å): 6.0749 6.0749 11.6484
angles (deg): 94.98 94.98 119.98
With the nearest neighbours (Å) after each atom.
Positions (direct):
Pr1 0.1665 0.8335 0.0000  3 Pr 3.50-3.51, 3 Sc 3.51, 6 Tm 3.53-3.54
Pr2 0.8335 0.1665 0.0000  3 Pr 3.50-3.51, 3 Sc 3.51, 6 Tm 3.53-3.54
Er1 0.0000 0.0000 0.5000  6 Tm 3.49-3.50, 6 Er 3.51
Er2 0.3337 0.6663 0.5000  6 Tm 3.48-3.51, 6 Er 3.50-3.51
Er3 0.6663 0.3337 0.5000  6 Tm 3.48-3.51, 6 Er 3.50-3.51
Tm1 0.0860 0.4162 0.7480  6 Tm 3.47-3.52, 3 Er 3.49-3.51, 1 Sc 3.52, 2 Pr 3.53-3.54
Tm2 0.2536 0.2536 0.2524  6 Tm 3.48-3.52, 3 Er 3.48-3.50, 1 Sc 3.52, 2 Pr 3.54
Tm3 0.4162 0.0860 0.7480  6 Tm 3.47-3.52, 3 Er 3.49-3.51, 1 Sc 3.52, 2 Pr 3.53-3.54
Tm4 0.5838 0.9140 0.2520  6 Tm 3.47-3.52, 3 Er 3.49-3.51, 1 Sc 3.52, 2 Pr 3.53-3.54
Tm5 0.7464 0.7464 0.7476  6 Tm 3.48-3.52, 3 Er 3.48-3.50, 1 Sc 3.52, 2 Pr 3.54
Tm6 0.9140 0.5838 0.2520  6 Tm 3.47-3.52, 3 Er 3.49-3.51, 1 Sc 3.52, 2 Pr 3.53-3.54
Sc1 0.5000 0.5000 0.0000  6 Pr 3.51, 6 Tm 3.52

The following is a PBE calculation of a relaxed PrEr2TmSc4 crystal, from Alexandria.

density of states at the Fermi level: 17.99 states/eV/f.u.
SG: C2/c
magnetization: 2.987 μB/f.u.
V: 465 Å³ per cell
formation enthalpy at 0 K: 0.433 eV per atom
DFT total energy: -80.48 eV for the cell shown

a b c (Å): 9.0762 9.0762 6.5179
angles (deg): 111.04 111.04 88.35
With the nearest neighbours (Å) after each atom.
Positions (direct):
Pr1 0.0000 0.0000 0.0000  6 Sc 3.20-3.29, 2 Pr 3.26
Pr2 0.0000 0.0000 0.5000  6 Sc 3.20-3.29, 2 Pr 3.26
Er1 0.0000 0.5000 0.0000  6 Sc 3.17-3.26, 2 Tm 3.26
Er2 0.5000 0.0000 0.5000  6 Sc 3.17-3.26, 2 Tm 3.26
Er3 0.5000 0.5000 0.0000  6 Sc 3.12-3.23, 2 Er 3.26
Er4 0.5000 0.5000 0.5000  6 Sc 3.12-3.23, 2 Er 3.26
Tm1 0.0000 0.5000 0.5000  6 Sc 3.15-3.25, 2 Er 3.26
Tm2 0.5000 0.0000 0.0000  6 Sc 3.15-3.25, 2 Er 3.26
Sc1 0.2526 0.2538 0.5047  1 Tm 3.15, 3 Er 3.17-3.23, 2 Sc 3.26, 2 Pr 3.28-3.29
Sc2 0.2530 0.7471 0.9998  3 Er 3.12-3.26, 1 Pr 3.20, 2 Tm 3.25, 2 Sc 3.26
Sc3 0.2529 0.7470 0.5002  3 Er 3.12-3.26, 1 Pr 3.20, 2 Tm 3.25, 2 Sc 3.26
Sc4 0.2538 0.2526 0.0047  1 Tm 3.15, 3 Er 3.17-3.23, 2 Sc 3.26, 2 Pr 3.28-3.29
Sc5 0.7462 0.7474 0.9953  1 Tm 3.15, 3 Er 3.17-3.23, 2 Sc 3.26, 2 Pr 3.28-3.29
Sc6 0.7470 0.2529 0.0002  3 Er 3.12-3.26, 1 Pr 3.20, 2 Tm 3.25, 2 Sc 3.26
Sc7 0.7471 0.2530 0.4998  3 Er 3.12-3.26, 1 Pr 3.20, 2 Tm 3.25, 2 Sc 3.26
Sc8 0.7474 0.7462 0.4953  1 Tm 3.15, 3 Er 3.17-3.23, 2 Sc 3.26, 2 Pr 3.28-3.29

Please write out number 1 again, unchanged.
The following is a PBE calculation of a relaxed Pr2Er3Tm6Sc crystal, from Alexandria.

density of states at the Fermi level: 16.28 states/eV/f.u.
SG: C2/m
magnetization: 0.000 μB/f.u.
V: 367 Å³ per cell
formation enthalpy at 0 K: 0.031 eV per atom
DFT total energy: -56.03 eV for the cell shown

a b c (Å): 6.0749 6.0749 11.6484
angles (deg): 94.98 94.98 119.98
With the nearest neighbours (Å) after each atom.
Positions (direct):
Pr1 0.1665 0.8335 0.0000  3 Pr 3.50-3.51, 3 Sc 3.51, 6 Tm 3.53-3.54
Pr2 0.8335 0.1665 0.0000  3 Pr 3.50-3.51, 3 Sc 3.51, 6 Tm 3.53-3.54
Er1 0.0000 0.0000 0.5000  6 Tm 3.49-3.50, 6 Er 3.51
Er2 0.3337 0.6663 0.5000  6 Tm 3.48-3.51, 6 Er 3.50-3.51
Er3 0.6663 0.3337 0.5000  6 Tm 3.48-3.51, 6 Er 3.50-3.51
Tm1 0.0860 0.4162 0.7480  6 Tm 3.47-3.52, 3 Er 3.49-3.51, 1 Sc 3.52, 2 Pr 3.53-3.54
Tm2 0.2536 0.2536 0.2524  6 Tm 3.48-3.52, 3 Er 3.48-3.50, 1 Sc 3.52, 2 Pr 3.54
Tm3 0.4162 0.0860 0.7480  6 Tm 3.47-3.52, 3 Er 3.49-3.51, 1 Sc 3.52, 2 Pr 3.53-3.54
Tm4 0.5838 0.9140 0.2520  6 Tm 3.47-3.52, 3 Er 3.49-3.51, 1 Sc 3.52, 2 Pr 3.53-3.54
Tm5 0.7464 0.7464 0.7476  6 Tm 3.48-3.52, 3 Er 3.48-3.50, 1 Sc 3.52, 2 Pr 3.54
Tm6 0.9140 0.5838 0.2520  6 Tm 3.47-3.52, 3 Er 3.49-3.51, 1 Sc 3.52, 2 Pr 3.53-3.54
Sc1 0.5000 0.5000 0.0000  6 Pr 3.51, 6 Tm 3.52

Q: The highest DFT total energy belongs to which entry?
A: Pr2Er3Tm6Sc

Q: What is the formation enthalpy at 0 K in the second record?
A: 0.433 eV per atom

Q: Which formula does entry 2 have?
A: PrEr2TmSc4